(1)
VASP calculation (GGA-PBE) on a relaxed structure of Pa2SbPd9.

Values from the calculation:
E_form (uncorrected) = -0.628 eV per atom
VASP energy = -0.4740 Ry/atom

Cell lengths 4.155, 4.155, 12.263 Å; angles 90.00, 90.00, 90.00 degrees
Positions (direct):
Pa 0.000 0.000 0.174
Pa 0.000 0.000 0.826
Sb 0.000 0.000 0.500
Pd 0.000 0.500 0.000
Pd 0.000 0.500 0.328
Pd 0.000 0.500 0.672
Pd 0.500 0.000 0.000
Pd 0.500 0.000 0.328
Pd 0.500 0.000 0.672
Pd 0.500 0.500 0.165
Pd 0.500 0.500 0.500
Pd 0.500 0.500 0.835

=====

(2)
VASP calculation (GGA-PBE) on a relaxed structure of Pa3Sb2Pd7.

Values from the calculation:
E_form (uncorrected) = -0.568 eV per atom
VASP energy = -0.4894 Ry/atom

Cell lengths 4.204, 3.991, 14.712 Å; angles 90.00, 98.21, 90.00 degrees
Positions (direct):
Pa 0.000 0.000 0.000
Pa 0.315 0.500 0.631
Pa 0.685 0.500 0.369
Sb 0.135 0.000 0.269
Sb 0.865 0.000 0.731
Pd 0.070 0.500 0.138
Pd 0.224 0.000 0.447
Pd 0.428 0.000 0.857
Pd 0.500 0.500 0.000
Pd 0.572 0.000 0.143
Pd 0.776 0.000 0.553
Pd 0.930 0.500 0.862

=====

(3)
VASP calculation (GGA-PBE) on a relaxed structure of Pa2SbPd.

Values from the calculation:
E_form (uncorrected) = -0.371 eV per atom
VASP energy = -0.5474 Ry/atom

Cell lengths 4.391, 4.391, 4.661 Å; angles 90.00, 90.00, 90.00 degrees
Positions (direct):
Pa 0.000 0.500 0.000
Pa 0.500 0.000 0.000
Sb 0.000 0.000 0.500
Pd 0.500 0.500 0.500

=====

(4)
VASP calculation (GGA-PBE) on a relaxed structure of Pa2SbPd6.

Values from the calculation:
E_form (uncorrected) = -0.576 eV per atom
VASP energy = -0.4856 Ry/atom

Cell lengths 5.700, 5.700, 6.166 Å; angles 90.00, 90.00, 120.00 degrees
Positions (direct):
Pa 0.333 0.667 0.297
Pa 0.667 0.333 0.703
Sb 0.000 0.000 0.500
Pd 0.176 0.352 0.825
Pd 0.176 0.824 0.825
Pd 0.352 0.176 0.175
Pd 0.648 0.824 0.825
Pd 0.824 0.176 0.175
Pd 0.824 0.648 0.175